# 1
This record from Alexandria describes EuGdTlIn after structural relaxation. The functional is PBE.

energy	-7.788	eV per atom
energy of formation	-1.7	eV/f.u.
SG	No. 216

a b c (Å): 5.498 5.498 5.498
angles (deg): 60.00 60.00 60.00
Element x y z (fractional)
Eu: 0.000 0.000 0.000
Gd: 0.500 0.500 0.500
Tl: 0.750 0.750 0.750
In: 0.250 0.250 0.250

=====

# 2
This record from Alexandria describes EuGdTmIn after structural relaxation. The functional is PBE.

energy	-8.013	eV per atom
energy of formation	-0.5	eV/f.u.
SG	No. 216

a b c (Å): 5.543 5.543 5.543
angles (deg): 60.00 60.00 60.00
Element x y z (fractional)
Eu: 0.000 0.000 0.000
Gd: 0.500 0.500 0.500
Tm: 0.750 0.750 0.750
In: 0.250 0.250 0.250

=====

# 3
This record from Alexandria describes EuGdIr after structural relaxation. The functional is PBE.

energy	-11.514	eV per atom
energy of formation	-1.3	eV/f.u.
relative energy among the computed polymorphs	58.7	meV per atom
SG	No. 107

a b c (Å): 7.155 7.155 7.155
angles (deg): 151.62 151.62 40.57
Element x y z (fractional)
Eu: 0.000 0.000 0.000
Gd: 0.252 0.252 0.000
Ir: 0.640 0.640 0.000